The following is a PBE+U calculation of an optimized crystal structure of VAg4O4, from the Alexandria database.

POSCAR file:
```
VAg4O4
1.0
-3.912 4.531 0.776
0.050 -5.969 0.897
3.886 1.516 4.363
O Ag V
4 4 1
Direct
0.064 0.110 0.741 O
0.678 0.936 0.046 O
0.368 0.322 0.259 O
0.890 0.632 0.954 O
0.166 0.575 0.735 Ag
0.841 0.432 0.265 Ag
0.425 0.159 0.591 Ag
0.568 0.834 0.409 Ag
0.000 0.000 0.000 V
```

Symmetry: I-4, No. 82
Calculated total energy, eV per atom: -5.04